1.
The following is a GGA-PBE calculation of a geometry-optimized ScTa2Os structure, from Alexandria via LeMat-Bulk.

CIF file:
```
data_ScTa2Os
_chemical_formula_sum 'Sc1 Ta2 Os1'
_cell_length_a 3.138
_cell_length_b 3.138
_cell_length_c 7.369
_cell_angle_alpha 90.00
_cell_angle_beta 90.00
_cell_angle_gamma 90.00
_space_group_name_H-M_alt 'P 1'
_space_group_IT_number 1
_space_group_name_Hall 'P 1'
loop_
_atom_site_label
_atom_site_type_symbol
_atom_site_fract_x
_atom_site_fract_y
_atom_site_fract_z
Sc1 Sc 0.000 0.000 0.000
Ta1 Ta 0.500 0.500 0.281
Ta2 Ta 0.500 0.500 0.719
Os1 Os 0.000 0.000 0.500
```

Properties
For the energy of formation, the calculation gives -0.050 eV/atom. The calculation puts the density of states at the Fermi level at 3.65 states/eV/f.u.

---

2.
The following is a GGA-PBE calculation of a geometry-optimized Ga3BI structure, from Alexandria via LeMat-Bulk.

CIF file:
```
data_Ga3BI
_chemical_formula_sum 'Ga3 B1 I1'
_cell_length_a 5.977
_cell_length_b 5.977
_cell_length_c 5.977
_cell_angle_alpha 90.00
_cell_angle_beta 90.00
_cell_angle_gamma 90.00
_space_group_name_H-M_alt 'P 1'
_space_group_IT_number 1
_space_group_name_Hall 'P 1'
loop_
_atom_site_label
_atom_site_type_symbol
_atom_site_fract_x
_atom_site_fract_y
_atom_site_fract_z
Ga1 Ga 0.000 0.000 0.500
Ga2 Ga 0.000 0.500 0.000
Ga3 Ga 0.500 0.000 0.000
B1 B 0.500 0.500 0.500
I1 I 0.000 0.000 0.000
```

Properties
The raw formation energy comes out at 1597 meV/atom. Its offset from the most stable computed form is 1.240 eV per atom. The calculation puts the density of states at the Fermi level at 8.22 states/eV/f.u.

---

3.
The following is a GGA-PBE calculation of a geometry-optimized YTlZn structure, from Alexandria via LeMat-Bulk.

CIF file:
```
data_YTlZn
_chemical_formula_sum 'Y4 Tl4 Zn4'
_cell_length_a 4.901
_cell_length_b 4.909
_cell_length_c 11.883
_cell_angle_alpha 90.00
_cell_angle_beta 90.00
_cell_angle_gamma 90.00
_space_group_name_H-M_alt 'P 1'
_space_group_IT_number 1
_space_group_name_Hall 'P 1'
loop_
_atom_site_label
_atom_site_type_symbol
_atom_site_fract_x
_atom_site_fract_y
_atom_site_fract_z
Y1 Y 0.000 0.000 0.000
Y2 Y 0.000 0.500 0.500
Y3 Y 0.500 0.000 0.500
Y4 Y 0.500 0.500 0.000
Tl1 Tl 0.000 0.000 0.306
Tl2 Tl 0.000 0.500 0.806
Tl3 Tl 0.500 0.000 0.806
Tl4 Tl 0.500 0.500 0.306
Zn1 Zn 0.000 0.000 0.656
Zn2 Zn 0.000 0.500 0.156
Zn3 Zn 0.500 0.000 0.156
Zn4 Zn 0.500 0.500 0.656
```

Properties
For the energy of formation, the calculation gives -0.185 eV/atom. The calculation puts the density of states at the Fermi level at 1.44 states/eV/f.u.